1.
{
  "formula": "Pr3ThP4",
  "functional": "PBE",
  "state": "optimized geometry",
  "lattice_angstrom": [[4.1880, -5.9177, 0.0000], [4.1880, 5.9177, 0.0000], [0.0000, 0.0000, 4.1892]],
  "species": ["Pr", "Pr", "Pr", "Th", "P", "P", "P", "P"],
  "frac_coords": [[0.0000, 0.0000, 0.0000], [0.0000, 0.5000, 0.5000], [0.5000, 0.0000, 0.5000], [0.5000, 0.5000, 0.0000], [0.2532, 0.7468, 0.0000], [0.2552, 0.2552, 0.5000], [0.7448, 0.7448, 0.5000], [0.7468, 0.2532, 0.0000]],
  "space_group": "No. 65",
  "delta_e_f_ev_per_fu": -12.45,
  "n_ef_per_ev_cell": 1.6
}

---

2.
{
  "formula": "Tl2Bi5Pb3",
  "functional": "PBE",
  "state": "optimized geometry",
  "lattice_angstrom": [[-7.3136, 7.4505, 3.5502], [7.3136, -7.4505, 3.5502], [7.3136, 7.4505, -3.5502]],
  "species": ["Tl", "Tl", "Tl", "Tl", "Bi", "Bi", "Bi", "Bi", "Bi", "Bi", "Bi", "Bi", "Bi", "Bi", "Pb", "Pb", "Pb", "Pb", "Pb", "Pb"],
  "frac_coords": [[0.1216, 0.2045, 0.3261], [0.3784, 0.7045, 0.0830], [0.6216, 0.2955, 0.9170], [0.8784, 0.7955, 0.6739], [0.0127, 0.2500, 0.7627], [0.1348, 0.6277, 0.7625], [0.2500, 0.2500, 0.0000], [0.3652, 0.1277, 0.4929], [0.4873, 0.2500, 0.2373], [0.5127, 0.7500, 0.7627], [0.6348, 0.8723, 0.5071], [0.7500, 0.7500, 0.0000], [0.8652, 0.3723, 0.2375], [0.9873, 0.7500, 0.2373], [0.1185, 0.8527, 0.9712], [0.2500, 0.7500, 0.5000], [0.3815, 0.3527, 0.7342], [0.6185, 0.6473, 0.2658], [0.7500, 0.2500, 0.5000], [0.8815, 0.1473, 0.0288]],
  "space_group": "No. 72",
  "delta_e_f_ev_per_fu": 1.02,
  "n_ef_per_ev_cell": 11.7
}

---

3.
{
  "formula": "Cs2Sn2I7",
  "functional": "PBE",
  "state": "optimized geometry",
  "lattice_angstrom": [[6.7771, -7.0824, 0.0000], [6.7771, 7.0824, 0.0000], [-1.2914, 0.0000, 7.0691]],
  "species": ["Cs", "Cs", "Sn", "Sn", "I", "I", "I", "I", "I", "I", "I"],
  "frac_coords": [[0.2339, 0.7661, 0.0000], [0.7661, 0.2339, 0.0000], [0.2732, 0.2732, 0.5450], [0.7258, 0.7258, 0.4553], [0.0836, 0.4010, 0.7828], [0.0925, 0.0925, 0.2562], [0.4010, 0.0836, 0.7828], [0.4999, 0.4999, 0.4994], [0.5984, 0.9170, 0.2198], [0.9039, 0.9039, 0.7497], [0.9170, 0.5984, 0.2198]],
  "space_group": "No. 8",
  "formation_energy_uncorrected_ev_per_atom": -0.81,
  "n_ef_per_ev_cell": 4.4,
  "de_polymorph_mev_per_atom": 0.0
}

---

4.
{
  "formula": "CrHgPd4",
  "functional": "PBE",
  "state": "optimized geometry",
  "lattice_angstrom": [[2.4369, -4.2650, 0.0000], [2.4369, 4.2650, 0.0000], [-1.4436, 0.0000, 4.6564]],
  "species": ["Cr", "Hg", "Pd", "Pd", "Pd", "Pd"],
  "frac_coords": [[0.0000, 0.0000, 0.0000], [0.5000, 0.5000, 0.5000], [0.1642, 0.8358, 0.5000], [0.3317, 0.6683, 0.0000], [0.6683, 0.3317, 0.0000], [0.8358, 0.1642, 0.5000]],
  "space_group": "No. 12",
  "delta_e_f_ev_per_fu": -0.30,
  "n_ef_per_ev_cell": 7.3
}

---

5.
{
  "formula": "Cs2GePb",
  "functional": "PBE",
  "state": "optimized geometry",
  "lattice_angstrom": [[12.2808, 0.0000, 0.0000], [0.0000, 7.3358, 0.0000], [-4.7414, 0.0000, 10.2027]],
  "species": ["Cs", "Cs", "Cs", "Cs", "Cs", "Cs", "Cs", "Cs", "Ge", "Ge", "Ge", "Ge", "Pb", "Pb", "Pb", "Pb"],
  "frac_coords": [[0.1812, 0.2494, 0.1036], [0.1812, 0.2506, 0.6036], [0.3070, 0.6371, 0.9109], [0.3070, 0.8629, 0.4109], [0.6931, 0.1371, 0.5891], [0.6931, 0.3629, 0.0891], [0.8188, 0.7494, 0.3964], [0.8188, 0.7506, 0.8964], [0.4026, 0.1065, 0.9554], [0.4026, 0.3935, 0.4554], [0.5974, 0.6065, 0.5446], [0.5974, 0.8935, 0.0446], [0.5000, 0.9995, 0.2254], [0.5000, 0.0005, 0.7746], [0.5000, 0.4995, 0.2746], [0.5000, 0.5005, 0.7254]],
  "space_group": "No. 14",
  "delta_e_f_ev_per_fu": -0.06,
  "n_ef_per_ev_cell": 13.1,
  "de_polymorph_mev_per_atom": 0.0
}

---

6.
{
  "formula": "Re3AsRh",
  "functional": "PBE",
  "state": "optimized geometry",
  "lattice_angstrom": [[4.6836, 0.0000, 0.0000], [0.0000, 4.6836, 0.0000], [0.0000, 0.0000, 4.6836]],
  "species": ["Re", "Re", "Re", "As", "Rh"],
  "frac_coords": [[0.0000, 0.0000, 0.5000], [0.0000, 0.5000, 0.0000], [0.5000, 0.0000, 0.0000], [0.5000, 0.5000, 0.5000], [0.0000, 0.0000, 0.0000]],
  "space_group": "No. 221",
  "delta_e_f_ev_per_fu": 11.69,
  "n_ef_per_ev_cell": 7.9,
  "de_polymorph_mev_per_atom": 600.9
}

---

7.
{
  "formula": "SrLiY2Hg",
  "functional": "PBE",
  "state": "optimized geometry",
  "lattice_angstrom": [[5.8858, 0.0000, 0.0000], [0.0000, 5.8858, 0.0000], [0.0000, 0.0000, 4.6752]],
  "species": ["Sr", "Li", "Y", "Y", "Hg"],
  "frac_coords": [[0.0000, 0.0000, 0.0000], [0.0000, 0.0000, 0.5000], [0.0000, 0.5000, 0.0000], [0.5000, 0.0000, 0.0000], [0.5000, 0.5000, 0.5000]],
  "space_group": "No. 123",
  "delta_e_f_ev_per_fu": 5.14,
  "n_ef_per_ev_cell": 5.2
}

---

8.
{
  "formula": "NaPr2SbO6",
  "functional": "PBE",
  "state": "optimized geometry",
  "lattice_angstrom": [[2.9707, 1.7152, 4.6784], [-2.9707, 1.7152, 4.6784], [0.0000, -3.4303, 4.6784]],
  "species": ["Na", "Pr", "Pr", "Sb", "O", "O", "O", "O", "O", "O"],
  "frac_coords": [[0.0000, 0.0000, 0.0000], [0.2667, 0.2667, 0.2667], [0.7333, 0.7333, 0.7333], [0.5000, 0.5000, 0.5000], [0.1638, 0.3779, 0.7037], [0.2963, 0.8362, 0.6221], [0.3779, 0.7037, 0.1638], [0.6221, 0.2963, 0.8362], [0.7037, 0.1638, 0.3779], [0.8362, 0.6221, 0.2963]],
  "space_group": "No. 148",
  "formation_energy_uncorrected_ev_per_atom": -2.48,
  "n_ef_per_ev_cell": 0.0
}

---

9.
{
  "formula": "Rb3Sm2RuO6",
  "functional": "PBE",
  "state": "optimized geometry",
  "lattice_angstrom": [[3.0050, -5.1971, 0.0000], [3.0050, 5.1971, 0.0000], [-2.0096, 0.0000, 6.5199]],
  "species": ["Rb", "Rb", "Rb", "Sm", "Sm", "Ru", "O", "O", "O", "O", "O", "O"],
  "frac_coords": [[0.0000, 0.0000, 0.0000], [0.3379, 0.6621, 0.0000], [0.6621, 0.3379, 0.0000], [0.1655, 0.8345, 0.5000], [0.8345, 0.1655, 0.5000], [0.5000, 0.5000, 0.5000], [0.1331, 0.4424, 0.3246], [0.2409, 0.2409, 0.6823], [0.4424, 0.1331, 0.3246], [0.5576, 0.8669, 0.6754], [0.7591, 0.7591, 0.3177], [0.8669, 0.5576, 0.6754]],
  "space_group": "No. 12",
  "formation_energy_uncorrected_ev_per_atom": -1.96,
  "n_ef_per_ev_cell": 7.5
}

---

10.
{
  "formula": "MoOsIN2",
  "functional": "PBE",
  "state": "optimized geometry",
  "lattice_angstrom": [[3.8752, 0.0000, 0.0000], [0.0000, 3.8752, 0.0000], [0.0000, 0.0000, 6.0205]],
  "species": ["Mo", "Os", "I", "N", "N"],
  "frac_coords": [[0.0000, 0.0000, 0.0000], [0.5000, 0.5000, 0.5000], [0.5000, 0.5000, 0.0000], [0.0000, 0.5000, 0.5000], [0.5000, 0.0000, 0.5000]],
  "space_group": "No. 123",
  "formation_energy_uncorrected_ev_per_atom": 1.38,
  "n_ef_per_ev_cell": 3.2,
  "de_polymorph_mev_per_atom": 0.0
}

---

11.
{
  "formula": "AsRh4",
  "functional": "PBE",
  "state": "optimized geometry",
  "lattice_angstrom": [[4.5019, 0.0000, 0.0000], [0.0000, 4.5019, 0.0000], [0.0000, 0.0000, 4.5019]],
  "species": ["As", "Rh", "Rh", "Rh", "Rh"],
  "frac_coords": [[0.0000, 0.0000, 0.0000], [0.0000, 0.0000, 0.5000], [0.0000, 0.5000, 0.0000], [0.5000, 0.0000, 0.0000], [0.5000, 0.5000, 0.5000]],
  "space_group": "No. 221",
  "delta_e_f_ev_per_fu": 3.79,
  "n_ef_per_ev_cell": 9.0,
  "de_polymorph_mev_per_atom": 829.8
}

---

12.
{
  "formula": "MgReSi2",
  "functional": "PBE",
  "state": "optimized geometry",
  "lattice_angstrom": [[4.1050, -1.5212, 0.0000], [4.1050, 1.5212, 0.0000], [-0.9223, 0.0000, 5.0909]],
  "species": ["Mg", "Re", "Si", "Si"],
  "frac_coords": [[0.0000, 0.0000, 0.0000], [0.5000, 0.5000, 0.5000], [0.2349, 0.2349, 0.6866], [0.7651, 0.7651, 0.3134]],
  "space_group": "No. 12",
  "formation_energy_uncorrected_ev_per_atom": -0.05,
  "n_ef_per_ev_cell": 2.0
}

---

13.
{
  "formula": "CdSiAg2",
  "functional": "PBE",
  "state": "optimized geometry",
  "lattice_angstrom": [[4.1925, 0.0000, 0.0000], [0.0000, 4.1925, 0.0000], [0.0000, 0.0000, 4.1287]],
  "species": ["Cd", "Si", "Ag", "Ag"],
  "frac_coords": [[0.0000, 0.0000, 0.0000], [0.5000, 0.5000, 0.0000], [0.0000, 0.5000, 0.5000], [0.5000, 0.0000, 0.5000]],
  "space_group": "No. 123",
  "formation_energy_uncorrected_ev_per_atom": 0.20,
  "n_ef_per_ev_cell": 1.5,
  "de_polymorph_mev_per_atom": 74.8
}

---

14.
{
  "formula": "P2WAuCl",
  "functional": "PBE",
  "state": "optimized geometry",
  "lattice_angstrom": [[4.7411, 0.0000, 0.0000], [0.0000, 4.7411, 0.0000], [0.0000, 0.0000, 4.7129]],
  "species": ["P", "P", "W", "Au", "Cl"],
  "frac_coords": [[0.0000, 0.5000, 0.0000], [0.5000, 0.0000, 0.0000], [0.0000, 0.0000, 0.0000], [0.5000, 0.5000, 0.5000], [0.0000, 0.0000, 0.5000]],
  "space_group": "No. 123",
  "formation_energy_uncorrected_ev_per_atom": 0.54,
  "n_ef_per_ev_cell": 2.0,
  "de_polymorph_mev_per_atom": 0.0
}

---

15.
{
  "formula": "La2BeAl",
  "functional": "PBE",
  "state": "optimized geometry",
  "lattice_angstrom": [[3.8099, 0.0000, 0.0000], [0.0000, 4.3199, 0.0000], [-1.8934, 0.0000, 6.2603]],
  "species": ["La", "La", "Be", "Al"],
  "frac_coords": [[0.0000, 0.0000, 0.0000], [0.3049, 0.5000, 0.6128], [0.7032, 0.0000, 0.4066], [0.6033, 0.5000, 0.2073]],
  "space_group": "No. 6",
  "delta_e_f_ev_per_fu": -0.28,
  "n_ef_per_ev_cell": 3.7,
  "de_polymorph_mev_per_atom": 41.2
}

---

16.
{
  "formula": "NiBi3Cl",
  "functional": "PBE",
  "state": "optimized geometry",
  "lattice_angstrom": [[5.2112, 0.0000, 0.0000], [0.0000, 5.2112, 0.0000], [0.0000, 0.0000, 5.2112]],
  "species": ["Ni", "Bi", "Bi", "Bi", "Cl"],
  "frac_coords": [[0.0000, 0.0000, 0.0000], [0.0000, 0.0000, 0.5000], [0.0000, 0.5000, 0.0000], [0.5000, 0.0000, 0.0000], [0.5000, 0.5000, 0.5000]],
  "space_group": "No. 221",
  "formation_energy_uncorrected_ev_per_atom": 0.21,
  "n_ef_per_ev_cell": 11.5,
  "de_polymorph_mev_per_atom": 0.0
}

---

17.
{
  "formula": "Cr2PtW",
  "functional": "PBE",
  "state": "optimized geometry",
  "lattice_angstrom": [[-1.9292, 1.9292, 3.8134], [1.9292, -1.9292, 3.8134], [1.9292, 1.9292, -3.8134]],
  "species": ["Cr", "Cr", "Pt", "W"],
  "frac_coords": [[0.2500, 0.7500, 0.5000], [0.7500, 0.2500, 0.5000], [0.0000, 0.0000, 0.0000], [0.5000, 0.5000, 0.0000]],
  "space_group": "No. 139",
  "delta_e_f_ev_per_fu": 0.33,
  "n_ef_per_ev_cell": 5.9,
  "de_polymorph_mev_per_atom": 92.0
}

---

18.
{
  "formula": "ReTe2Rh",
  "functional": "PBE",
  "state": "optimized geometry",
  "lattice_angstrom": [[4.6758, 0.0000, 0.0000], [0.0000, 4.6758, 0.0000], [0.0000, 0.0000, 3.4106]],
  "species": ["Re", "Te", "Te", "Rh"],
  "frac_coords": [[0.0000, 0.0000, 0.0000], [0.0000, 0.5000, 0.5000], [0.5000, 0.0000, 0.5000], [0.5000, 0.5000, 0.0000]],
  "space_group": "No. 123",
  "formation_energy_uncorrected_ev_per_atom": 0.52,
  "n_ef_per_ev_cell": 4.2,
  "de_polymorph_mev_per_atom": 337.2
}

---

19.
{
  "formula": "MnCr2Tc",
  "functional": "PBE",
  "state": "optimized geometry",
  "lattice_angstrom": [[1.4808, -2.0820, 0.0000], [1.4808, 2.0820, 0.0000], [0.0000, 0.0000, 8.0555]],
  "species": ["Mn", "Cr", "Cr", "Tc"],
  "frac_coords": [[0.0000, 0.0000, 0.0000], [0.5000, 0.5000, 0.2368], [0.5000, 0.5000, 0.7632], [0.0000, 0.0000, 0.5000]],
  "space_group": "No. 65",
  "delta_e_f_ev_per_fu": 0.45,
  "n_ef_per_ev_cell": 4.6,
  "de_polymorph_mev_per_atom": 58.3
}